Dy2AgCl: optimized geometry, GGA-PBE.

Cell and atoms, written as CIF:
```
data_Dy2AgCl
_cell_length_a 3.360
_cell_length_b 3.360
_cell_length_c 10.566
_cell_angle_alpha 80.85
_cell_angle_beta 80.85
_cell_angle_gamma 60.00
_space_group_name_H-M_alt 'P 1'
_space_group_IT_number 1
loop_
_space_group_symop_operation_xyz
'x,y,z'
loop_
_atom_site_label
_atom_site_type_symbol
_atom_site_fract_x
_atom_site_fract_y
_atom_site_fract_z
Cl1 Cl 0.500 0.500 0.500
Ag1 Ag 0.000 0.000 0.000
Dy1 Dy 0.094 0.094 0.717
Dy2 Dy 0.906 0.906 0.283
```

Computed properties:
Fermi-level density of states, states/eV per atom: 0.572
V, Å³/cell: 102
Formation energy (no corrections), eV/atom: -0.347
Calculated total energy, eV/atom: -3.82

BaCuRh2: optimized geometry, GGA-PBE.

Cell and atoms, written as CIF:
```
data_BaCuRh2
_cell_length_a 5.037
_cell_length_b 5.037
_cell_length_c 5.037
_cell_angle_alpha 128.42
_cell_angle_beta 128.42
_cell_angle_gamma 75.94
_space_group_name_H-M_alt 'P 1'
_space_group_IT_number 1
loop_
_space_group_symop_operation_xyz
'x,y,z'
loop_
_atom_site_label
_atom_site_type_symbol
_atom_site_fract_x
_atom_site_fract_y
_atom_site_fract_z
Ba1 Ba 0.250 0.750 0.500
Cu1 Cu 0.750 0.250 0.500
Rh1 Rh 0.000 0.000 0.000
Rh2 Rh 0.500 0.500 0.000
```

Computed properties:
Fermi-level density of states, states/eV per atom: 1.457
V, Å³/cell: 76
Energy relative to the lowest polymorph listed for this composition, eV/atom: 0.5474
Energy relative to the elements, kJ/mol of formula units: 170
Calculated total energy, eV/atom: -4.74

AcZrSi4: optimized geometry, GGA-PBE.

Cell and atoms, written as CIF:
```
data_AcZrSi4
_cell_length_a 3.983
_cell_length_b 8.082
_cell_length_c 15.169
_cell_angle_alpha 90.00
_cell_angle_beta 90.00
_cell_angle_gamma 90.00
_space_group_name_H-M_alt 'P 1'
_space_group_IT_number 1
loop_
_space_group_symop_operation_xyz
'x,y,z'
loop_
_atom_site_label
_atom_site_type_symbol
_atom_site_fract_x
_atom_site_fract_y
_atom_site_fract_z
Ac1 Ac 0.000 0.624 0.352
Ac2 Ac 0.000 0.376 0.648
Ac3 Ac 0.000 0.124 0.148
Ac4 Ac 0.000 0.876 0.852
Zr1 Zr 0.000 0.627 0.087
Zr2 Zr 0.000 0.373 0.913
Zr3 Zr 0.000 0.127 0.413
Zr4 Zr 0.000 0.873 0.587
Si1 Si 0.500 0.780 0.193
Si2 Si 0.500 0.220 0.807
Si3 Si 0.500 0.280 0.307
Si4 Si 0.500 0.720 0.693
Si5 Si 0.500 0.871 0.042
Si6 Si 0.500 0.129 0.958
Si7 Si 0.500 0.371 0.458
Si8 Si 0.500 0.629 0.542
Si9 Si 0.500 0.877 0.453
Si10 Si 0.500 0.123 0.547
Si11 Si 0.500 0.377 0.047
Si12 Si 0.500 0.623 0.953
Si13 Si 0.500 0.979 0.305
Si14 Si 0.500 0.021 0.695
Si15 Si 0.500 0.479 0.195
Si16 Si 0.500 0.521 0.805
```

Computed properties:
Fermi-level density of states, states/eV per atom: 0.436
V, Å³/cell: 488
Formation energy (no corrections), eV/atom: -0.502
Calculated total energy, eV/atom: -6.23

YNi2Hg2: optimized geometry, GGA-PBE.

Cell and atoms, written as CIF:
```
data_YNi2Hg2
_cell_length_a 4.175
_cell_length_b 4.175
_cell_length_c 6.335
_cell_angle_alpha 70.76
_cell_angle_beta 70.76
_cell_angle_gamma 90.00
_space_group_name_H-M_alt 'P 1'
_space_group_IT_number 1
loop_
_space_group_symop_operation_xyz
'x,y,z'
loop_
_atom_site_label
_atom_site_type_symbol
_atom_site_fract_x
_atom_site_fract_y
_atom_site_fract_z
Y1 Y 0.000 0.000 0.000
Ni1 Ni 0.401 0.401 0.199
Ni2 Ni 0.599 0.599 0.801
Hg1 Hg 0.750 0.250 0.500
Hg2 Hg 0.250 0.750 0.500
```

Computed properties:
Fermi-level density of states, states/eV per atom: 0.813
V, Å³/cell: 98
Energy relative to the lowest polymorph listed for this composition, eV/atom: 0.0000
Energy relative to the elements, kJ/mol of formula units: -59
Calculated total energy, eV/atom: -3.85

ZrIrAu2: optimized geometry, GGA-PBE.

Cell and atoms, written as CIF:
```
data_ZrIrAu2
_cell_length_a 4.962
_cell_length_b 4.962
_cell_length_c 3.142
_cell_angle_alpha 90.00
_cell_angle_beta 90.00
_cell_angle_gamma 112.11
_space_group_name_H-M_alt 'P 1'
_space_group_IT_number 1
loop_
_space_group_symop_operation_xyz
'x,y,z'
loop_
_atom_site_label
_atom_site_type_symbol
_atom_site_fract_x
_atom_site_fract_y
_atom_site_fract_z
Au1 Au 0.000 0.000 0.000
Au2 Au 0.500 0.500 0.000
Ir1 Ir 0.500 0.000 0.500
Zr1 Zr 0.000 0.500 0.500
```

Computed properties:
Fermi-level density of states, states/eV per atom: 0.460
V, Å³/cell: 72
Energy relative to the lowest polymorph listed for this composition, eV/atom: 0.3012
Energy relative to the elements, kJ/mol of formula units: -62
Calculated total energy, eV/atom: -6.15

NaZn2Cd2: optimized geometry, GGA-PBE.

Cell and atoms, written as CIF:
```
data_NaZn2Cd2
_cell_length_a 8.164
_cell_length_b 8.164
_cell_length_c 3.080
_cell_angle_alpha 90.00
_cell_angle_beta 90.00
_cell_angle_gamma 90.00
_space_group_name_H-M_alt 'P 1'
_space_group_IT_number 1
loop_
_space_group_symop_operation_xyz
'x,y,z'
loop_
_atom_site_label
_atom_site_type_symbol
_atom_site_fract_x
_atom_site_fract_y
_atom_site_fract_z
Na1 Na 0.000 0.000 0.000
Na2 Na 0.500 0.500 0.000
Zn1 Zn 0.384 0.884 0.000
Zn2 Zn 0.884 0.616 0.000
Zn3 Zn 0.616 0.116 0.000
Zn4 Zn 0.116 0.384 0.000
Cd1 Cd 0.182 0.682 0.500
Cd2 Cd 0.682 0.818 0.500
Cd3 Cd 0.818 0.318 0.500
Cd4 Cd 0.318 0.182 0.500
```

Computed properties:
Fermi-level density of states, states/eV per atom: 0.343
V, Å³/cell: 205
Energy relative to the lowest polymorph listed for this composition, eV/atom: 0.0356
Energy relative to the elements, kJ/mol of formula units: -1
Calculated total energy, eV/atom: -1.14

Sm3Zn2Ga: optimized geometry, GGA-PBE.

Cell and atoms, written as CIF:
```
data_Sm3Zn2Ga
_cell_length_a 5.159
_cell_length_b 5.159
_cell_length_c 6.321
_cell_angle_alpha 90.00
_cell_angle_beta 90.00
_cell_angle_gamma 120.00
_space_group_name_H-M_alt 'P 1'
_space_group_IT_number 1
loop_
_space_group_symop_operation_xyz
'x,y,z'
loop_
_atom_site_label
_atom_site_type_symbol
_atom_site_fract_x
_atom_site_fract_y
_atom_site_fract_z
Sm1 Sm 0.000 0.000 0.500
Sm2 Sm 0.667 0.333 0.833
Sm3 Sm 0.333 0.667 0.167
Zn1 Zn 0.667 0.333 0.339
Zn2 Zn 0.333 0.667 0.661
Ga1 Ga 0.000 0.000 0.000
```

Computed properties:
Fermi-level density of states, states/eV per atom: 1.323
V, Å³/cell: 146
Energy relative to the lowest polymorph listed for this composition, eV/atom: 0.0000
Energy relative to the elements, kJ/mol of formula units: -232
Calculated total energy, eV/atom: -3.69

MgNiP: optimized geometry, GGA-PBE.

Cell and atoms, written as CIF:
```
data_MgNiP
_cell_length_a 5.102
_cell_length_b 5.102
_cell_length_c 3.077
_cell_angle_alpha 72.44
_cell_angle_beta 72.44
_cell_angle_gamma 35.11
_space_group_name_H-M_alt 'P 1'
_space_group_IT_number 1
loop_
_space_group_symop_operation_xyz
'x,y,z'
loop_
_atom_site_label
_atom_site_type_symbol
_atom_site_fract_x
_atom_site_fract_y
_atom_site_fract_z
Mg1 Mg 0.000 0.999 0.000
Ni1 Ni 0.298 0.298 0.702
P1 P 0.703 0.703 0.297
```

Computed properties:
Fermi-level density of states, states/eV per atom: 0.544
V, Å³/cell: 44
Energy relative to the elements, kJ/mol of formula units: -72
Calculated total energy, eV/atom: -4.51

Be2RuRh: optimized geometry, GGA-PBE.

Cell and atoms, written as CIF:
```
data_Be2RuRh
_cell_length_a 4.798
_cell_length_b 4.798
_cell_length_c 4.798
_cell_angle_alpha 145.67
_cell_angle_beta 133.89
_cell_angle_gamma 58.73
_space_group_name_H-M_alt 'P 1'
_space_group_IT_number 1
loop_
_space_group_symop_operation_xyz
'x,y,z'
loop_
_atom_site_label
_atom_site_type_symbol
_atom_site_fract_x
_atom_site_fract_y
_atom_site_fract_z
Ru1 Ru 0.247 0.747 0.500
Rh1 Rh 0.507 0.507 0.000
Be1 Be 0.989 0.989 0.000
Be2 Be 0.758 0.258 0.500
```

Computed properties:
Fermi-level density of states, states/eV per atom: 0.788
V, Å³/cell: 44
Energy relative to the elements, kJ/mol of formula units: -100
Calculated total energy, eV/atom: -6.28

AcGe3Os: optimized geometry, GGA-PBE.

Cell and atoms, written as CIF:
```
data_AcGe3Os
_cell_length_a 4.540
_cell_length_b 4.540
_cell_length_c 6.079
_cell_angle_alpha 111.93
_cell_angle_beta 111.93
_cell_angle_gamma 90.00
_space_group_name_H-M_alt 'P 1'
_space_group_IT_number 1
loop_
_space_group_symop_operation_xyz
'x,y,z'
loop_
_atom_site_label
_atom_site_type_symbol
_atom_site_fract_x
_atom_site_fract_y
_atom_site_fract_z
Ac1 Ac 0.999 0.999 0.998
Ge1 Ge 0.257 0.757 0.513
Ge2 Ge 0.757 0.257 0.513
Ge3 Ge 0.422 0.422 0.844
Os1 Os 0.656 0.656 0.312
```

Computed properties:
Fermi-level density of states, states/eV per atom: 0.428
V, Å³/cell: 106
Energy relative to the lowest polymorph listed for this composition, eV/atom: 0.0000
Energy relative to the elements, kJ/mol of formula units: -237
Calculated total energy, eV/atom: -6.33

Ac2MnAs4Pt3: optimized geometry, GGA-PBE.

Cell and atoms, written as CIF:
```
data_Ac2MnAs4Pt3
_cell_length_a 4.522
_cell_length_b 4.522
_cell_length_c 10.207
_cell_angle_alpha 90.00
_cell_angle_beta 90.00
_cell_angle_gamma 90.00
_space_group_name_H-M_alt 'P 1'
_space_group_IT_number 1
loop_
_space_group_symop_operation_xyz
'x,y,z'
loop_
_atom_site_label
_atom_site_type_symbol
_atom_site_fract_x
_atom_site_fract_y
_atom_site_fract_z
Ac1 Ac 0.500 0.000 0.245
Ac2 Ac 0.000 0.500 0.755
Mn1 Mn 0.500 0.500 0.500
As1 As 0.500 0.500 0.000
As2 As 0.000 0.000 0.000
As3 As 0.500 0.000 0.630
As4 As 0.000 0.500 0.370
Pt1 Pt 0.000 0.000 0.500
Pt2 Pt 0.500 0.000 0.883
Pt3 Pt 0.000 0.500 0.117
```

Computed properties:
Fermi-level density of states, states/eV per atom: 0.420
V, Å³/cell: 209
Energy relative to the elements, kJ/mol of formula units: -840
Calculated total energy, eV/atom: -6.28

In2RhPb: optimized geometry, GGA-PBE.

Cell and atoms, written as CIF:
```
data_In2RhPb
_cell_length_a 7.292
_cell_length_b 7.292
_cell_length_c 7.292
_cell_angle_alpha 155.22
_cell_angle_beta 143.53
_cell_angle_gamma 44.59
_space_group_name_H-M_alt 'P 1'
_space_group_IT_number 1
loop_
_space_group_symop_operation_xyz
'x,y,z'
loop_
_atom_site_label
_atom_site_type_symbol
_atom_site_fract_x
_atom_site_fract_y
_atom_site_fract_z
In1 In 0.072 0.072 0.000
In2 In 0.749 0.249 0.500
Rh1 Rh 0.245 0.745 0.500
Pb1 Pb 0.434 0.434 0.000
```

Computed properties:
Fermi-level density of states, states/eV per atom: 0.541
V, Å³/cell: 96
Energy relative to the elements, kJ/mol of formula units: -56
Calculated total energy, eV/atom: -4.28

Q: Which of these has the lowest calculated total energy?
A: AcGe3Os